Entry A
# PBE Tb3Cu2Pd, optimized geometry
# - N(E_F): 3.74 states/eV/f.u.
data_Tb3Cu2Pd
_cell_length_a 4.9528
_cell_length_b 4.9528
_cell_length_c 6.0609
_cell_angle_alpha 90.00
_cell_angle_beta 90.00
_cell_angle_gamma 120.00
_space_group_name_H-M_alt 'P -3 m 1'
_space_group_IT_number 164
_space_group_name_Hall '-P 3 2"'
loop_
_atom_site_label
_atom_site_fract_x
_atom_site_fract_y
_atom_site_fract_z
Tb1 0.0000 0.0000 0.0000
Tb2 0.3333 0.6667 0.6660
Cu1 0.3333 0.6667 0.1551
Pd1 0.0000 0.0000 0.5000

---

Entry B
# PBE Tb3Cu2Pd, optimized geometry
# - N(E_F): 4.09 states/eV/f.u.
data_Tb3Cu2Pd
_cell_length_a 3.4844
_cell_length_b 3.4844
_cell_length_c 10.6204
_cell_angle_alpha 90.00
_cell_angle_beta 90.00
_cell_angle_gamma 90.00
_space_group_name_H-M_alt 'P 4/m m m'
_space_group_IT_number 123
_space_group_name_Hall '-P 4 2'
loop_
_atom_site_label
_atom_site_fract_x
_atom_site_fract_y
_atom_site_fract_z
Tb1 0.0000 0.0000 0.0000
Tb2 0.0000 0.0000 0.3325
Cu1 0.5000 0.5000 0.1645
Pd1 0.5000 0.5000 0.5000

---

What should be chosen as the least stable of them? Choose entry B.

---

Entry A
# PBE TbThCuPd, optimized geometry
# - N(E_F): 4.13 states/eV/f.u.
data_TbThCuPd
_cell_length_a 7.1349
_cell_length_b 7.1349
_cell_length_c 7.1349
_cell_angle_alpha 90.00
_cell_angle_beta 90.00
_cell_angle_gamma 90.00
_space_group_name_H-M_alt 'F -4 3 m'
_space_group_IT_number 216
_space_group_name_Hall 'F -4 2 3'
loop_
_atom_site_label
_atom_site_fract_x
_atom_site_fract_y
_atom_site_fract_z
Tb1 0.0000 0.0000 0.0000
Th1 0.0000 0.0000 0.5000
Cu1 0.2500 0.2500 0.7500
Pd1 0.2500 0.2500 0.2500

---

Entry B
# PBE TbThCuPd, optimized geometry
# - N(E_F): 3.60 states/eV/f.u.
data_TbThCuPd
_cell_length_a 4.5944
_cell_length_b 3.7638
_cell_length_c 10.7482
_cell_angle_alpha 90.00
_cell_angle_beta 90.00
_cell_angle_gamma 90.00
_space_group_name_H-M_alt 'A m m 2'
_space_group_IT_number 38
loop_
_space_group_symop_operation_xyz
'x,y,z'
'-x,-y,z'
'-x,y,z'
'x,-y,z'
'x,y+1/2,z+1/2'
'-x,-y+1/2,z+1/2'
'-x,y+1/2,z+1/2'
'x,-y+1/2,z+1/2'
loop_
_atom_site_label
_atom_site_fract_x
_atom_site_fract_y
_atom_site_fract_z
Tb1 0.0000 0.0000 0.0000
Th1 0.5000 0.0000 0.7196
Cu1 0.0000 0.0000 0.2798
Pd1 0.5000 0.0000 0.4368

---

What should be chosen as the least stable of them? Choose entry A.

---

Entry A
# PBE CuTc2Pd, optimized geometry
# - N(E_F): 3.33 states/eV/f.u.
data_CuTc2Pd
_cell_length_a 3.6008
_cell_length_b 3.6008
_cell_length_c 18.8434
_cell_angle_alpha 90.00
_cell_angle_beta 90.00
_cell_angle_gamma 90.00
_space_group_name_H-M_alt 'I -4 2 d'
_space_group_IT_number 122
_space_group_name_Hall 'I -4 2bw'
loop_
_atom_site_label
_atom_site_fract_x
_atom_site_fract_y
_atom_site_fract_z
Cu1 0.0000 0.0000 0.0000
Tc1 0.2249 0.2500 0.1250
Pd1 0.0000 0.0000 0.5000

---

Entry B
# PBE CuTc2Pd, optimized geometry
# - N(E_F): 6.11 states/eV/f.u.
data_CuTc2Pd
_cell_length_a 6.1216
_cell_length_b 6.1216
_cell_length_c 6.1216
_cell_angle_alpha 90.00
_cell_angle_beta 90.00
_cell_angle_gamma 90.00
_space_group_name_H-M_alt 'F m -3 m'
_space_group_IT_number 225
_space_group_name_Hall '-F 4 2 3'
loop_
_atom_site_label
_atom_site_fract_x
_atom_site_fract_y
_atom_site_fract_z
Cu1 0.0000 0.0000 0.0000
Tc1 0.2500 0.2500 0.2500
Pd1 0.0000 0.0000 0.5000

---

What should be chosen as the least stable of them? Choose entry B.

---

Entry A
# PBE Cu2Te6Pd, optimized geometry
# - N(E_F): 4.37 states/eV/f.u.
data_Cu2Te6Pd
_cell_length_a 13.0226
_cell_length_b 9.5012
_cell_length_c 8.0556
_cell_angle_alpha 90.00
_cell_angle_beta 98.85
_cell_angle_gamma 90.00
_space_group_name_H-M_alt 'C 1 2/c 1'
_space_group_IT_number 15
loop_
_space_group_symop_operation_xyz
'x,y,z'
'-x,-y,-z'
'-x,y,-z+1/2'
'x,-y,z+1/2'
'x+1/2,y+1/2,z'
'-x+1/2,-y+1/2,-z'
'-x+1/2,y+1/2,-z+1/2'
'x+1/2,-y+1/2,z+1/2'
loop_
_atom_site_label
_atom_site_fract_x
_atom_site_fract_y
_atom_site_fract_z
Cu1 0.2144 0.0481 0.3412
Te1 0.0945 0.3803 0.5731
Te2 0.1026 0.0560 0.5778
Te3 0.1759 0.2952 0.1578
Pd1 0.0000 0.4176 0.2500

---

Entry B
# PBE Cu2Te6Pd, optimized geometry
# - N(E_F): 5.01 states/eV/f.u.
data_Cu2Te6Pd
_cell_length_a 7.0157
_cell_length_b 7.0157
_cell_length_c 5.1355
_cell_angle_alpha 90.00
_cell_angle_beta 90.00
_cell_angle_gamma 120.00
_space_group_name_H-M_alt 'P -3 1 m'
_space_group_IT_number 162
_space_group_name_Hall '-P 3 2'
loop_
_atom_site_label
_atom_site_fract_x
_atom_site_fract_y
_atom_site_fract_z
Cu1 0.3333 0.6667 0.0000
Te1 0.0000 0.3345 0.2711
Pd1 0.0000 0.0000 0.0000

---

What should be chosen as the least stable of them? Choose entry A.

---

Entry A
# PBE CuTe3Pd, optimized geometry
# - N(E_F): 2.05 states/eV/f.u.
data_CuTe3Pd
_cell_length_a 6.2933
_cell_length_b 7.4547
_cell_length_c 10.7877
_cell_angle_alpha 90.00
_cell_angle_beta 106.99
_cell_angle_gamma 90.00
_space_group_name_H-M_alt 'P 1 21/c 1'
_space_group_IT_number 14
loop_
_space_group_symop_operation_xyz
'x,y,z'
'-x,-y,-z'
'-x,y+1/2,-z+1/2'
'x,-y+1/2,z+1/2'
loop_
_atom_site_label
_atom_site_fract_x
_atom_site_fract_y
_atom_site_fract_z
Cu1 0.0136 0.1418 0.4315
Te1 0.0528 0.0508 0.7896
Te2 0.3012 0.6680 0.5221
Te3 0.4079 0.1504 0.6137
Pd1 0.3411 0.1552 0.3134

---

Entry B
# PBE CuTe3Pd, optimized geometry
# - N(E_F): 1.51 states/eV/f.u.
data_CuTe3Pd
_cell_length_a 5.4069
_cell_length_b 4.1559
_cell_length_c 11.9494
_cell_angle_alpha 90.00
_cell_angle_beta 102.29
_cell_angle_gamma 90.00
_space_group_name_H-M_alt 'P 1 21/m 1'
_space_group_IT_number 11
loop_
_space_group_symop_operation_xyz
'x,y,z'
'-x,-y,-z'
'-x,y+1/2,-z'
'x,-y+1/2,z'
loop_
_atom_site_label
_atom_site_fract_x
_atom_site_fract_y
_atom_site_fract_z
Cu1 0.1583 0.2500 0.4150
Te1 0.1366 0.2500 0.6277
Te2 0.2229 0.7500 0.9362
Te3 0.3145 0.2500 0.2287
Pd1 0.4473 0.2500 0.8463

---

Entry C
# PBE CuTe3Pd, optimized geometry
# - N(E_F): 5.17 states/eV/f.u.
data_CuTe3Pd
_cell_length_a 5.2641
_cell_length_b 5.2641
_cell_length_c 5.2641
_cell_angle_alpha 90.00
_cell_angle_beta 90.00
_cell_angle_gamma 90.00
_space_group_name_H-M_alt 'P m -3 m'
_space_group_IT_number 221
_space_group_name_Hall '-P 4 2 3'
loop_
_atom_site_label
_atom_site_fract_x
_atom_site_fract_y
_atom_site_fract_z
Cu1 0.0000 0.0000 0.0000
Te1 0.0000 0.5000 0.5000
Pd1 0.5000 0.5000 0.5000

---

What should be chosen as the least stable of them? Choose entry C.

---

Entry A
# PBE Cu6TePd12, optimized geometry
# - N(E_F): 17.34 states/eV/f.u.
data_Cu6TePd12
_cell_length_a 10.7804
_cell_length_b 10.7804
_cell_length_c 8.8066
_cell_angle_alpha 90.00
_cell_angle_beta 90.00
_cell_angle_gamma 120.00
_space_group_name_H-M_alt 'R -3 m'
_space_group_IT_number 166
_space_group_name_Hall '-R 3 2"'
loop_
_atom_site_label
_atom_site_fract_x
_atom_site_fract_y
_atom_site_fract_z
Cu1 0.0843 0.1686 0.2442
Te1 0.0000 0.0000 0.5000
Pd1 0.0000 0.2638 0.5000
Pd2 0.0771 0.5385 0.6157

---

Entry B
# PBE Cu6TePd12, optimized geometry
# - N(E_F): 17.57 states/eV/f.u.
data_Cu6TePd12
_cell_length_a 11.9741
_cell_length_b 11.9741
_cell_length_c 6.7885
_cell_angle_alpha 90.00
_cell_angle_beta 90.00
_cell_angle_gamma 120.00
_space_group_name_H-M_alt 'R -3'
_space_group_IT_number 148
_space_group_name_Hall '-R 3'
loop_
_atom_site_label
_atom_site_fract_x
_atom_site_fract_y
_atom_site_fract_z
Cu1 0.0338 0.2800 0.3305
Te1 0.0000 0.0000 0.0000
Pd1 0.0128 0.1426 0.6616
Pd2 0.0650 0.5602 0.6714

---

What should be chosen as the least stable of them? Choose entry A.

---

Entry A
# PBE Cu2TePd2, optimized geometry
# - N(E_F): 2.25 states/eV/f.u.
data_Cu2TePd2
_cell_length_a 3.5209
_cell_length_b 3.5209
_cell_length_c 13.6387
_cell_angle_alpha 90.00
_cell_angle_beta 90.00
_cell_angle_gamma 90.00
_space_group_name_H-M_alt 'I 4/m m m'
_space_group_IT_number 139
_space_group_name_Hall '-I 4 2'
loop_
_atom_site_label
_atom_site_fract_x
_atom_site_fract_y
_atom_site_fract_z
Cu1 0.0000 0.5000 0.2500
Te1 0.0000 0.0000 0.0000
Pd1 0.0000 0.0000 0.3944

---

Entry B
# PBE Cu2TePd2, optimized geometry
# - N(E_F): 1.43 states/eV/f.u.
data_Cu2TePd2
_cell_length_a 7.2352
_cell_length_b 7.2352
_cell_length_c 3.1239
_cell_angle_alpha 90.00
_cell_angle_beta 90.00
_cell_angle_gamma 90.00
_space_group_name_H-M_alt 'P 4/m b m'
_space_group_IT_number 127
_space_group_name_Hall '-P 4 2ab'
loop_
_atom_site_label
_atom_site_fract_x
_atom_site_fract_y
_atom_site_fract_z
Cu1 0.1463 0.3537 0.0000
Te1 0.0000 0.0000 0.5000
Pd1 0.1459 0.6459 0.5000

---

What should be chosen as the least stable of them? Choose entry A.

---

Entry A
# PBE CuTe4Pd, optimized geometry
# - N(E_F): 2.90 states/eV/f.u.
data_CuTe4Pd
_cell_length_a 5.1211
_cell_length_b 4.0679
_cell_length_c 7.1865
_cell_angle_alpha 90.00
_cell_angle_beta 92.12
_cell_angle_gamma 90.00
_space_group_name_H-M_alt 'P 1 2/m 1'
_space_group_IT_number 10
loop_
_space_group_symop_operation_xyz
'x,y,z'
'-x,-y,-z'
'-x,y,-z'
'x,-y,z'
loop_
_atom_site_label
_atom_site_fract_x
_atom_site_fract_y
_atom_site_fract_z
Cu1 0.0000 0.0000 0.0000
Te1 0.2642 0.0000 0.6952
Te2 0.2740 0.5000 0.1918
Pd1 0.0000 0.5000 0.5000

---

Entry B
# PBE CuTe4Pd, optimized geometry
# - N(E_F): 4.13 states/eV/f.u.
data_CuTe4Pd
_cell_length_a 6.2439
_cell_length_b 4.2031
_cell_length_c 7.0198
_cell_angle_alpha 90.00
_cell_angle_beta 115.02
_cell_angle_gamma 90.00
_space_group_name_H-M_alt 'P 1 2/m 1'
_space_group_IT_number 10
loop_
_space_group_symop_operation_xyz
'x,y,z'
'-x,-y,-z'
'-x,y,-z'
'x,-y,z'
loop_
_atom_site_label
_atom_site_fract_x
_atom_site_fract_y
_atom_site_fract_z
Cu1 0.0000 0.0000 0.0000
Te1 0.2365 0.0000 0.4203
Te2 0.2422 0.5000 0.9264
Pd1 0.0000 0.5000 0.5000

---

What should be chosen as the least stable of them? Choose entry B.

---

Entry A
# PBE ThCuPd4, optimized geometry
# - N(E_F): 4.18 states/eV/f.u.
data_ThCuPd4
_cell_length_a 7.5675
_cell_length_b 7.5675
_cell_length_c 7.5675
_cell_angle_alpha 90.00
_cell_angle_beta 90.00
_cell_angle_gamma 90.00
_space_group_name_H-M_alt 'F -4 3 m'
_space_group_IT_number 216
_space_group_name_Hall 'F -4 2 3'
loop_
_atom_site_label
_atom_site_fract_x
_atom_site_fract_y
_atom_site_fract_z
Th1 0.0000 0.0000 0.0000
Cu1 0.2500 0.2500 0.7500
Pd1 0.1243 0.1243 0.3757

---

Entry B
# PBE ThCuPd4, optimized geometry
# - N(E_F): 3.24 states/eV/f.u.
data_ThCuPd4
_cell_length_a 5.2501
_cell_length_b 8.0047
_cell_length_c 5.5381
_cell_angle_alpha 90.00
_cell_angle_beta 115.12
_cell_angle_gamma 90.00
_space_group_name_H-M_alt 'P 1 21/c 1'
_space_group_IT_number 14
loop_
_space_group_symop_operation_xyz
'x,y,z'
'-x,-y,-z'
'-x,y+1/2,-z+1/2'
'x,-y+1/2,z+1/2'
loop_
_atom_site_label
_atom_site_fract_x
_atom_site_fract_y
_atom_site_fract_z
Th1 0.0000 0.0000 0.0000
Cu1 0.5000 0.0000 0.5000
Pd1 0.1193 0.1531 0.5987
Pd2 0.3974 0.6792 0.3661

---

What should be chosen as the least stable of them? Choose entry B.

---

Entry A
# PBE ThCuPd3, optimized geometry
# - N(E_F): 2.36 states/eV/f.u.
data_ThCuPd3
_cell_length_a 5.1341
_cell_length_b 5.1341
_cell_length_c 16.8957
_cell_angle_alpha 90.00
_cell_angle_beta 90.00
_cell_angle_gamma 90.00
_space_group_name_H-M_alt 'I -4 m 2'
_space_group_IT_number 119
_space_group_name_Hall 'I -4 -2'
loop_
_atom_site_label
_atom_site_fract_x
_atom_site_fract_y
_atom_site_fract_z
Th1 0.0000 0.0000 0.1279
Cu1 0.0000 0.0000 0.5000
Cu2 0.0000 0.5000 0.7500
Pd1 0.0000 0.2451 0.6260
Pd2 0.0000 0.5000 0.0308

---

Entry B
# PBE ThCuPd3, optimized geometry
# - N(E_F): 1.47 states/eV/f.u.
data_ThCuPd3
_cell_length_a 4.7981
_cell_length_b 13.0999
_cell_length_c 5.8278
_cell_angle_alpha 90.00
_cell_angle_beta 90.00
_cell_angle_gamma 90.00
_space_group_name_H-M_alt 'C m c m'
_space_group_IT_number 63
_space_group_name_Hall '-C 2c 2'
loop_
_atom_site_label
_atom_site_fract_x
_atom_site_fract_y
_atom_site_fract_z
Th1 0.0000 0.1986 0.2500
Cu1 0.0000 0.0000 0.0000
Pd1 0.0000 0.1665 0.7500
Pd2 0.0000 0.3932 0.5024

---

What should be chosen as the least stable of them? Choose entry A.